Entry 1:
An optimized crystal structure of Ag2Te. Source: OQMD via LeMat-Bulk, functional PBE-GGA.

## Properties
The calculation puts the total energy at -2.96 eV per atom. The space-group type is Fm-3m, No. 225. The calculation puts the calculated volume at 74 Å³/cell.

abc: 4.711 4.711 4.711
angles: 60.00 60.00 60.00
Fractional positions:
Ag (0.250, 0.250, 0.250)
Ag (0.750, 0.750, 0.750)
Te (0.000, 0.000, 0.000)

Entry 2:
An optimized crystal structure of Ag17Te. Source: OQMD via LeMat-Bulk, functional PBE-GGA.

## Properties
The calculation puts the total energy at -2.81 eV per atom. The space-group type is P2_1/m, No. 11. The calculation puts the calculated volume at 872 Å³/cell.

abc: 5.003 5.833 29.895
angles: 90.00 90.36 90.00
Fractional positions:
Ag (0.000, 0.000, 0.000)
Ag (0.000, 0.500, 0.000)
Ag (0.004, 0.001, 0.759)
Ag (0.004, 0.499, 0.759)
Ag (0.160, 0.250, 0.322)
Ag (0.165, 0.750, 0.081)
Ag (0.167, 0.250, 0.080)
Ag (0.168, 0.250, 0.839)
Ag (0.168, 0.750, 0.840)
Ag (0.331, 0.001, 0.161)
Ag (0.331, 0.499, 0.161)
Ag (0.333, 0.001, 0.920)
Ag (0.333, 0.499, 0.920)
Ag (0.339, 0.502, 0.679)
Ag (0.339, 0.998, 0.679)
Ag (0.492, 0.750, 0.240)
Ag (0.497, 0.250, 0.241)
Ag (0.499, 0.750, 0.000)
Ag (0.501, 0.250, 0.000)
Ag (0.503, 0.750, 0.759)
Ag (0.508, 0.250, 0.760)
Ag (0.661, 0.002, 0.321)
Ag (0.661, 0.498, 0.321)
Ag (0.667, 0.501, 0.080)
Ag (0.667, 0.999, 0.080)
Ag (0.669, 0.501, 0.839)
Ag (0.669, 0.999, 0.839)
Ag (0.832, 0.250, 0.160)
Ag (0.832, 0.750, 0.161)
Ag (0.833, 0.750, 0.920)
Ag (0.835, 0.250, 0.919)
Ag (0.840, 0.750, 0.678)
Ag (0.996, 0.501, 0.241)
Ag (0.996, 0.999, 0.241)
Te (0.163, 0.750, 0.343)
Te (0.837, 0.250, 0.657)

Entry 3:
An optimized crystal structure of Ag7Te. Source: OQMD via LeMat-Bulk, functional PBE-GGA.

## Properties
The calculation puts the total energy at -2.82 eV per atom. The space-group type is P4/nmm, No. 129. The excess energy over the best structure of this formula in the dataset is 0.09 eV/f.u. The calculation puts the calculated volume at 382 Å³/cell.

abc: 2.957 2.957 43.642
angles: 90.00 90.00 90.00
Fractional positions:
Ag (0.250, 0.250, 0.023)
Ag (0.250, 0.250, 0.114)
Ag (0.250, 0.250, 0.206)
Ag (0.250, 0.250, 0.300)
Ag (0.250, 0.250, 0.747)
Ag (0.250, 0.250, 0.840)
Ag (0.250, 0.250, 0.931)
Ag (0.750, 0.750, 0.069)
Ag (0.750, 0.750, 0.160)
Ag (0.750, 0.750, 0.253)
Ag (0.750, 0.750, 0.700)
Ag (0.750, 0.750, 0.794)
Ag (0.750, 0.750, 0.886)
Ag (0.750, 0.750, 0.977)
Te (0.250, 0.250, 0.641)
Te (0.750, 0.750, 0.359)